Entry 1:
Here is a geometry-optimized SiWBr2 structure from Alexandria. Energies are from PBE.

Its polymorph energy (0 for the lowest one) is 0.22 kcal/mol of atoms. For the raw formation energy, the calculation gives 0.1410 eV per atom.

a b c (Å): 3.417 3.417 8.957
angles (deg): 90.00 90.00 90.00
Atoms (fractional coordinates):
Br1 0.000 0.000 0.926
Br2 0.500 0.500 0.319
Si1 0.000 0.000 0.670
W1 0.500 0.500 0.585

Entry 2:
Here is a geometry-optimized Hf2Ag2Te structure from Alexandria. Energies are from PBE.

Its polymorph energy (0 for the lowest one) is 0.00 kcal/mol of atoms. For the raw formation energy, the calculation gives 0.0057 eV per atom.

a b c (Å): 7.389 7.389 4.115
angles (deg): 90.00 90.00 90.00
Atoms (fractional coordinates):
Te1 0.000 0.000 0.000
Te2 0.500 0.500 0.000
Hf1 0.347 0.847 0.000
Hf2 0.847 0.653 0.000
Hf3 0.653 0.153 0.000
Hf4 0.153 0.347 0.000
Ag1 0.136 0.636 0.500
Ag2 0.636 0.864 0.500
Ag3 0.864 0.364 0.500
Ag4 0.364 0.136 0.500

Entry 3:
Here is a geometry-optimized Mo2IrAu structure from Alexandria. Energies are from PBE.

Its polymorph energy (0 for the lowest one) is 11.38 kcal/mol of atoms.

a b c (Å): 4.512 4.512 4.512
angles (deg): 60.00 60.00 60.00
Atoms (fractional coordinates):
Mo1 0.250 0.250 0.250
Mo2 0.750 0.750 0.750
Ir1 0.000 0.000 0.000
Au1 0.500 0.500 0.500

Entry 4:
Here is a geometry-optimized PmHo2In2 structure from Alexandria. Energies are from PBE.

Its polymorph energy (0 for the lowest one) is 0.00 kcal/mol of atoms.

a b c (Å): 3.769 5.396 14.043
angles (deg): 90.00 97.72 90.00
Atoms (fractional coordinates):
Pm1 0.853 0.750 0.704
Pm2 0.147 0.250 0.296
Ho1 0.049 0.750 0.097
Ho2 0.951 0.250 0.903
Ho3 0.236 0.750 0.474
Ho4 0.764 0.250 0.526
In1 0.643 0.750 0.287
In2 0.357 0.250 0.713
In3 0.452 0.750 0.905
In4 0.548 0.250 0.095

Entry 5:
Here is a geometry-optimized TiNbCrRe structure from Alexandria. Energies are from PBE.

The value obtained for the energy is -10.193 eV per atom.

a b c (Å): 4.417 4.417 4.417
angles (deg): 60.00 60.00 60.00
Atoms (fractional coordinates):
Re1 0.250 0.250 0.250
Nb1 0.000 0.000 0.000
Ti1 0.500 0.500 0.500
Cr1 0.750 0.750 0.750

Entry 6:
Here is a geometry-optimized Y8GeTe4Se3 structure from Alexandria. Energies are from PBE.

For the raw formation energy, the calculation gives -1.5009 eV per atom.

a b c (Å): 8.406 8.576 8.406
angles (deg): 119.35 120.00 90.00
Atoms (fractional coordinates):
Y1 0.236 0.717 0.981
Y2 0.236 0.717 0.472
Y3 0.261 0.284 0.523
Y4 0.745 0.717 0.981
Y5 0.255 0.283 0.019
Y6 0.739 0.716 0.477
Y7 0.764 0.283 0.528
Y8 0.764 0.283 0.019
Ge1 0.000 0.500 0.000
Te1 0.500 0.000 0.000
Te2 0.500 0.000 0.500
Te3 0.000 0.000 0.000
Te4 0.000 0.000 0.500
Se1 0.500 0.500 0.000
Se2 0.500 0.500 0.500
Se3 0.000 0.500 0.500

Entry 7:
Here is a geometry-optimized PuSn2Pd3 structure from Alexandria. Energies are from PBE.

Its polymorph energy (0 for the lowest one) is 0.05 kcal/mol of atoms.

a b c (Å): 4.236 9.207 10.325
angles (deg): 106.08 90.00 103.30
Atoms (fractional coordinates):
Pu1 0.167 0.334 0.712
Pu2 0.833 0.666 0.288
Pu3 0.000 0.000 0.000
Sn1 0.192 0.383 0.129
Sn2 0.808 0.617 0.871
Sn3 0.456 0.911 0.220
Sn4 0.544 0.089 0.780
Sn5 0.362 0.724 0.540
Sn6 0.638 0.276 0.460
Pd1 0.044 0.087 0.329
Pd2 0.956 0.913 0.671
Pd3 0.215 0.430 0.396
Pd4 0.785 0.570 0.604
Pd5 0.609 0.218 0.187
Pd6 0.391 0.782 0.813
Pd7 0.500 0.000 0.500
Pd8 0.317 0.634 0.036
Pd9 0.683 0.366 0.964

Entry 8:
Here is a geometry-optimized ZnFe2Sb structure from Alexandria. Energies are from PBE.

Its polymorph energy (0 for the lowest one) is 0.90 kcal/mol of atoms. For the raw formation energy, the calculation gives 0.1979 eV per atom.

a b c (Å): 4.958 4.958 4.008
angles (deg): 65.91 65.91 41.73
Atoms (fractional coordinates):
Fe1 0.019 0.019 0.981
Fe2 0.737 0.737 0.762
Sb1 0.489 0.489 0.511
Zn1 0.255 0.255 0.246

no.,DOS(E_F) (states/eV per atom)
1,0.7092
2,0.9854
3,1.6826
4,0.9191
5,1.0778
6,0.3520
7,2.5903
8,0.7421